i) Material: La2FeW
Method: DFT, PBE-GGA
State: optimized geometry

a = 7.002 Å, b = 7.002 Å, c = 7.002 Å
α = 90.00°, β = 90.00°, γ = 90.00°
Space group F-43m (No. 216)
Asymmetric unit:
La  0.000  0.000  0.000 [4 per cell]
La  0.250  0.250  0.250 [4 per cell]
Fe  0.250  0.250  0.750 [4 per cell]
W  0.000  0.000  0.500 [4 per cell]

ii) Material: La2FeW
Method: DFT, PBE-GGA
State: optimized geometry

a = 4.431 Å, b = 4.431 Å, c = 9.224 Å
α = 90.00°, β = 90.00°, γ = 90.00°
Space group I-4m2 (No. 119)
Asymmetric unit:
La  0.000  0.000  0.000 [2 per cell]
La  0.000  0.500  0.250 [2 per cell]
Fe  0.000  0.000  0.500 [2 per cell]
W  0.000  0.500  0.750 [2 per cell]

Stability summary - winner: i); margin: 0.041 eV/atom.

i) Material: La2FeW
Method: DFT, PBE-GGA
State: optimized geometry

a = 3.519 Å, b = 5.318 Å, c = 9.197 Å
α = 90.00°, β = 90.00°, γ = 90.00°
Space group Immm (No. 71)
Asymmetric unit:
La  0.000  0.000  0.228 [4 per cell]
Fe  0.000  0.500  0.500 [2 per cell]
W  0.000  0.500  0.000 [2 per cell]

ii) Material: La2FeW
Method: DFT, PBE-GGA
State: optimized geometry

a = 3.4665 Å, b = 3.4665 Å, c = 26.8102 Å
α = 90.00°, β = 90.00°, γ = 120.00°
Space group R-3m (No. 166, hexagonal axes)
Asymmetric unit:
La  0.0000  0.0000  0.2462 [6 per cell]
Fe  0.0000  0.0000  0.5000 [3 per cell]
W  0.0000  0.0000  0.0000 [3 per cell]

iii) Material: La2FeW
Method: DFT, PBE-GGA
State: optimized geometry

a = 3.708 Å, b = 5.099 Å, c = 9.288 Å
α = 90.00°, β = 90.00°, γ = 90.00°
Space group Cmmm (No. 65)
Asymmetric unit:
La  0.000  0.000  0.238 [4 per cell]
Fe  0.000  0.500  0.000 [2 per cell]
W  0.000  0.500  0.500 [2 per cell]

Stability summary - winner: iii); margin: 0.056 eV/atom.

i) Material: La2FeW
Method: DFT, PBE-GGA
State: optimized geometry

a = 7.256 Å, b = 7.256 Å, c = 7.256 Å
α = 90.00°, β = 90.00°, γ = 90.00°
Space group Fm-3m (No. 225)
Asymmetric unit:
La  0.250  0.250  0.250 [8 per cell]
Fe  0.000  0.000  0.000 [4 per cell]
W  0.000  0.000  0.500 [4 per cell]

ii) Material: La2FeW
Method: DFT, PBE-GGA
State: optimized geometry

a = 7.929 Å, b = 7.929 Å, c = 5.744 Å
α = 90.00°, β = 90.00°, γ = 90.00°
Space group I-42d (No. 122)
Asymmetric unit:
La  0.200  0.750  0.125 [8 per cell]
Fe  0.000  0.000  0.000 [4 per cell]
W  0.000  0.000  0.500 [4 per cell]

Stability summary - winner: i); margin: 0.286 eV/atom.

i) Material: La2FeW
Method: DFT, PBE-GGA
State: optimized geometry

a = 3.173 Å, b = 3.174 Å, c = 9.206 Å
α = 90.00°, β = 90.09°, γ = 90.00°
Space group Pm (No. 6)
Asymmetric unit:
La  0.000  0.000  0.000 [1 per cell]
La  0.499  0.500  0.385 [1 per cell]
Fe  0.501  0.500  0.764 [1 per cell]
W  0.001  0.000  0.637 [1 per cell]

ii) Material: La2FeW
Method: DFT, PBE-GGA
State: optimized geometry

a = 3.593 Å, b = 3.593 Å, c = 7.334 Å
α = 90.00°, β = 90.00°, γ = 90.00°
Space group P4/mmm (No. 123)
Asymmetric unit:
La  0.000  0.000  0.246 [2 per cell]
Fe  0.500  0.500  0.000 [1 per cell]
W  0.500  0.500  0.500 [1 per cell]

iii) Material: La2FeW
Method: DFT, PBE-GGA
State: optimized geometry

a = 3.500 Å, b = 4.914 Å, c = 11.363 Å
α = 90.00°, β = 90.00°, γ = 90.00°
Space group Imm2 (No. 44)
Asymmetric unit:
La  0.000  0.000  0.000 [2 per cell]
La  0.000  0.500  0.212 [2 per cell]
Fe  0.000  0.000  0.430 [2 per cell]
W  0.000  0.500  0.799 [2 per cell]

Stability summary - winner: i); margin: 0.070 eV/atom.

i) Material: La2YFe
Method: DFT, PBE-GGA
State: optimized geometry

a = 3.8218 Å, b = 3.8218 Å, c = 28.5120 Å
α = 90.00°, β = 90.00°, γ = 120.00°
Space group R3m (No. 160, hexagonal axes)
Asymmetric unit:
La  0.0000  0.0000  0.0000 [3 per cell]
La  0.0000  0.0000  0.2163 [3 per cell]
Y  0.0000  0.0000  0.4419 [3 per cell]
Fe  0.0000  0.0000  0.7168 [3 per cell]

ii) Material: La2YFe
Method: DFT, PBE-GGA
State: optimized geometry

a = 7.062 Å, b = 7.071 Å, c = 4.588 Å
α = 90.00°, β = 90.00°, γ = 90.00°
Space group Cmmm (No. 65)
Asymmetric unit:
La  0.250  0.250  0.000 [4 per cell]
Y  0.000  0.000  0.500 [2 per cell]
Fe  0.000  0.500  0.500 [2 per cell]

iii) Material: La2YFe
Method: DFT, PBE-GGA
State: optimized geometry

a = 7.518 Å, b = 7.518 Å, c = 7.518 Å
α = 90.00°, β = 90.00°, γ = 90.00°
Space group Fm-3m (No. 225)
Asymmetric unit:
La  0.250  0.250  0.250 [8 per cell]
Y  0.000  0.000  0.000 [4 per cell]
Fe  0.000  0.000  0.500 [4 per cell]

Stability summary - winner: i); margin: 0.157 eV/atom.

i) Material: La2YFe
Method: DFT, PBE-GGA
State: optimized geometry

a = 5.099 Å, b = 5.116 Å, c = 8.896 Å
α = 90.00°, β = 90.00°, γ = 90.00°
Space group Cmmm (No. 65)
Asymmetric unit:
La  0.000  0.000  0.192 [4 per cell]
Y  0.000  0.500  0.500 [2 per cell]
Fe  0.000  0.500  0.000 [2 per cell]

ii) Material: La2YFe
Method: DFT, PBE-GGA
State: optimized geometry

a = 8.653 Å, b = 8.653 Å, c = 6.183 Å
α = 90.00°, β = 90.00°, γ = 90.00°
Space group I-42d (No. 122)
Asymmetric unit:
La  0.156  0.250  0.125 [8 per cell]
Y  0.000  0.000  0.500 [4 per cell]
Fe  0.000  0.000  0.000 [4 per cell]

iii) Material: La2YFe
Method: DFT, PBE-GGA
State: optimized geometry

a = 12.264 Å, b = 3.640 Å, c = 5.745 Å
α = 90.00°, β = 116.83°, γ = 90.00°
Space group Cm (No. 8)
Asymmetric unit:
La  0.000  0.000  0.000 [2 per cell]
La  0.183  0.000  0.677 [2 per cell]
Y  0.369  0.000  0.368 [2 per cell]
Fe  0.177  0.500  0.225 [2 per cell]

iv) Material: La2YFe
Method: DFT, PBE-GGA
State: optimized geometry

a = 3.523 Å, b = 3.523 Å, c = 9.232 Å
α = 90.00°, β = 90.00°, γ = 90.00°
Space group P4mm (No. 99)
Asymmetric unit:
La  0.000  0.000  0.000 [1 per cell]
La  0.500  0.500  0.327 [1 per cell]
Y  0.000  0.000  0.639 [1 per cell]
Fe  0.500  0.500  0.814 [1 per cell]

Stability summary - winner: iv); margin: 0.028 eV/atom.

i) Material: La2YFe
Method: DFT, PBE-GGA
State: optimized geometry

a = 3.679 Å, b = 5.685 Å, c = 10.549 Å
α = 90.00°, β = 90.00°, γ = 90.00°
Space group Immm (No. 71)
Asymmetric unit:
La  0.000  0.000  0.184 [4 per cell]
Y  0.000  0.500  0.000 [2 per cell]
Fe  0.000  0.500  0.500 [2 per cell]

ii) Material: La2YFe
Method: DFT, PBE-GGA
State: optimized geometry

a = 4.708 Å, b = 4.708 Å, c = 10.116 Å
α = 90.00°, β = 90.00°, γ = 90.00°
Space group I-4m2 (No. 119)
Asymmetric unit:
La  0.000  0.000  0.000 [2 per cell]
La  0.000  0.500  0.250 [2 per cell]
Y  0.000  0.500  0.750 [2 per cell]
Fe  0.000  0.000  0.500 [2 per cell]

Stability summary - winner: i); margin: 0.249 eV/atom.

i) Material: La2YFe
Method: DFT, PBE-GGA
State: optimized geometry

a = 3.815 Å, b = 10.011 Å, c = 6.169 Å
α = 90.00°, β = 105.09°, γ = 90.00°
Space group P2_1/m (No. 11)
Asymmetric unit:
La  0.127  0.077  0.275 [4 per cell]
Y  0.454  0.250  0.807 [2 per cell]
Fe  0.193  0.750  0.561 [2 per cell]

ii) Material: La2YFe
Method: DFT, PBE-GGA
State: optimized geometry

a = 6.410 Å, b = 11.134 Å, c = 3.523 Å
α = 90.00°, β = 116.96°, γ = 90.00°
Space group C2/m (No. 12)
Asymmetric unit:
La  0.250  0.250  0.000 [4 per cell]
Y  0.000  0.000  0.500 [2 per cell]
Fe  0.000  0.500  0.500 [2 per cell]

iii) Material: La2YFe
Method: DFT, PBE-GGA
State: optimized geometry

a = 7.570 Å, b = 7.570 Å, c = 7.570 Å
α = 90.00°, β = 90.00°, γ = 90.00°
Space group F-43m (No. 216)
Asymmetric unit:
La  0.000  0.000  0.000 [4 per cell]
La  0.250  0.250  0.250 [4 per cell]
Y  0.250  0.250  0.750 [4 per cell]
Fe  0.000  0.000  0.500 [4 per cell]

Stability summary - winner: i); margin: 0.319 eV/atom.

i) Material: La2YFe
Method: DFT, PBE-GGA
State: optimized geometry

a = 4.756 Å, b = 4.756 Å, c = 9.901 Å
α = 90.00°, β = 90.00°, γ = 90.00°
Space group I4/mmm (No. 139)
Asymmetric unit:
La  0.000  0.500  0.250 [4 per cell]
Y  0.000  0.000  0.000 [2 per cell]
Fe  0.000  0.000  0.500 [2 per cell]

ii) Material: La2YFe
Method: DFT, PBE-GGA
State: optimized geometry

a = 5.650 Å, b = 11.606 Å, c = 3.883 Å
α = 90.00°, β = 90.00°, γ = 90.00°
Space group Cmmm (No. 65)
Asymmetric unit:
La  0.000  0.152  0.000 [4 per cell]
Y  0.000  0.500  0.500 [2 per cell]
Fe  0.000  0.000  0.500 [2 per cell]

iii) Material: La2YFe
Method: DFT, PBE-GGA
State: optimized geometry

a = 3.8256 Å, b = 3.8256 Å, c = 28.1154 Å
α = 90.00°, β = 90.00°, γ = 120.00°
Space group R-3m (No. 166, hexagonal axes)
Asymmetric unit:
La  0.0000  0.0000  0.2237 [6 per cell]
Y  0.0000  0.0000  0.0000 [3 per cell]
Fe  0.0000  0.0000  0.5000 [3 per cell]

Stability summary - winner: ii); margin: 0.108 eV/atom.

i) Material: La2YFe2
Method: DFT, PBE-GGA
State: optimized geometry

a = 4.878 Å, b = 4.878 Å, c = 10.229 Å
α = 90.00°, β = 90.00°, γ = 90.00°
Space group I4/mmm (No. 139)
Asymmetric unit:
La  0.000  0.000  0.164 [4 per cell]
Y  0.000  0.000  0.500 [2 per cell]
Fe  0.000  0.500  0.250 [4 per cell]

ii) Material: La2YFe2
Method: DFT, PBE-GGA
State: optimized geometry

a = 7.637 Å, b = 7.637 Å, c = 4.297 Å
α = 90.00°, β = 90.00°, γ = 90.00°
Space group P4/mbm (No. 127)
Asymmetric unit:
La  0.176  0.324  0.000 [4 per cell]
Y  0.000  0.000  0.500 [2 per cell]
Fe  0.104  0.604  0.500 [4 per cell]

Stability summary - winner: ii); margin: 0.368 eV/atom.

i) Material: La3ZnFe
Method: DFT, PBE-GGA
State: optimized geometry

a = 3.845 Å, b = 8.512 Å, c = 8.707 Å
α = 88.63°, β = 89.95°, γ = 77.18°
Space group P1 (No. 1)
Asymmetric unit:
La  0.000  0.000  0.000 [1 per cell]
La  0.097  0.806  0.602 [1 per cell]
La  0.290  0.410  0.998 [1 per cell]
La  0.454  0.106  0.348 [1 per cell]
La  0.643  0.700  0.254 [1 per cell]
La  0.807  0.396  0.604 [1 per cell]
Zn  0.452  0.099  0.726 [1 per cell]
Zn  0.645  0.707  0.876 [1 per cell]
Fe  0.270  0.459  0.347 [1 per cell]
Fe  0.827  0.346  0.254 [1 per cell]

ii) Material: La3ZnFe
Method: DFT, PBE-GGA
State: optimized geometry

a = 5.255 Å, b = 5.255 Å, c = 5.255 Å
α = 90.00°, β = 90.00°, γ = 90.00°
Space group Pm-3m (No. 221)
Asymmetric unit:
La  0.000  0.000  0.500 [3 per cell]
Zn  0.500  0.500  0.500 [1 per cell]
Fe  0.000  0.000  0.000 [1 per cell]

Stability summary - winner: i); margin: 0.061 eV/atom.